This record from the Alexandria database describes crystalline Rb2NdI4 at its relaxed geometry. The functional is PBE.

Properties
**Calculated volume**: 360.4 Å³/f.u.
**Space group**: I4/mmm, No. 139
**Crystal system**: tetragonal
**Raw formation energy**: -1.3041 eV/atom
**E_tot**: -3.15 eV per atom

Cell: 6.2087 6.2087 10.3298 Å, 107.49 107.49 90.00°
Site moments in Bohr magnetons follow the coordinates.
Positions (direct):
I  0.8295  0.8295  0.6590  0.01
I  0.1705  0.1705  0.3410  0.01
I  0.0000  0.5000  0.0000  0.00
I  0.5000  0.0000  0.0000  0.00
Nd  0.0000  0.0000  0.0000  0.26
Rb  0.6358  0.6358  0.2717  0.00
Rb  0.3642  0.3642  0.7283  0.00